Record 1
A relaxed Y2PbC crystal, computed with PBE-GGA.

Results
**Total magnetic moment**: 0.0 Bohr magnetons per cell
**D(E_F)**: 1.194 states/eV per atom
**Final energy**: -93.80 eV per cell
**Calculated formation energy**: 58.1 kJ/mol of atoms

Cell lengths 7.162, 7.162, 7.162 Å; angles 90.00, 90.00, 90.00 degrees
Sites, in units of the cell vectors:
Y  0.250  0.250  0.250
Y  0.250  0.250  0.750
Y  0.250  0.750  0.250
Y  0.250  0.750  0.750
Y  0.750  0.250  0.250
Y  0.750  0.250  0.750
Y  0.750  0.750  0.250
Y  0.750  0.750  0.750
Pb  0.000  0.000  0.000
Pb  0.000  0.500  0.500
Pb  0.500  0.000  0.500
Pb  0.500  0.500  0.000
C  0.000  0.000  0.500
C  0.000  0.500  0.000
C  0.500  0.000  0.000
C  0.500  0.500  0.500



Record 2
A relaxed Y4Pb2C crystal, computed with PBE-GGA.

Results
**Total magnetic moment**: 0.0 Bohr magnetons per cell
**D(E_F)**: 0.080 states/eV per atom
**Excess energy over the best structure of this formula in the dataset**: 0.0000 eV/atom
**Final energy**: -93.16 eV per cell
**Calculated formation energy**: -56.3 kJ/mol of atoms

Cell lengths 4.834, 4.834, 16.130 Å; angles 90.00, 90.00, 90.00 degrees
Sites, in units of the cell vectors:
Y  0.000  0.000  0.158
Y  0.000  0.000  0.842
Y  0.000  0.500  0.000
Y  0.000  0.500  0.500
Y  0.500  0.000  0.000
Y  0.500  0.000  0.500
Y  0.500  0.500  0.342
Y  0.500  0.500  0.658
Pb  0.000  0.000  0.358
Pb  0.000  0.000  0.642
Pb  0.500  0.500  0.142
Pb  0.500  0.500  0.858
C  0.000  0.000  0.000
C  0.500  0.500  0.500



Record 3
A relaxed Y4Pb2C crystal, computed with PBE-GGA.

Results
**Total magnetic moment**: 0.0 Bohr magnetons per cell
**D(E_F)**: 0.203 states/eV per atom
**Excess energy over the best structure of this formula in the dataset**: 0.1691 eV/atom
**Final energy**: -90.79 eV per cell
**Calculated formation energy**: -40.0 kJ/mol of atoms

Cell lengths 6.556, 6.836, 9.299 Å; angles 90.00, 109.79, 90.00 degrees
Sites, in units of the cell vectors:
Y  0.176  0.250  0.057
Y  0.243  0.002  0.729
Y  0.243  0.498  0.729
Y  0.274  0.750  0.346
Y  0.726  0.250  0.654
Y  0.757  0.502  0.271
Y  0.757  0.998  0.271
Y  0.824  0.750  0.943
Pb  0.230  0.250  0.419
Pb  0.345  0.750  0.032
Pb  0.655  0.250  0.968
Pb  0.770  0.750  0.581
C  0.078  0.250  0.800
C  0.922  0.750  0.200



Record 4
A relaxed Y2PbC crystal, computed with PBE-GGA.

Results
**Total magnetic moment**: 0.0 Bohr magnetons per cell
**D(E_F)**: 0.299 states/eV per atom
**Final energy**: -105.24 eV per cell
**Calculated formation energy**: -10.9 kJ/mol of atoms

Cell lengths 7.273, 7.273, 7.494 Å; angles 90.00, 90.00, 90.00 degrees
Sites, in units of the cell vectors:
Y  0.160  0.250  0.125
Y  0.250  0.660  0.375
Y  0.250  0.840  0.875
Y  0.340  0.250  0.625
Y  0.660  0.750  0.625
Y  0.750  0.160  0.875
Y  0.750  0.340  0.375
Y  0.840  0.750  0.125
Pb  0.000  0.000  0.500
Pb  0.000  0.500  0.750
Pb  0.500  0.000  0.250
Pb  0.500  0.500  0.000
C  0.000  0.000  0.000
C  0.000  0.500  0.250
C  0.500  0.000  0.750
C  0.500  0.500  0.500



Record 5
A relaxed Y2PbC crystal, computed with PBE-GGA.

Results
**Total magnetic moment**: 0.0 Bohr magnetons per cell
**D(E_F)**: 0.226 states/eV per atom
**Final energy**: -83.65 eV per cell
**Calculated formation energy**: -48.8 kJ/mol of atoms

Cell lengths 3.654, 3.654, 24.119 Å; angles 90.00, 90.00, 120.00 degrees
Sites, in units of the cell vectors:
Y  0.000  0.000  0.222
Y  0.000  0.000  0.778
Y  0.333  0.667  0.444
Y  0.333  0.667  0.889
Y  0.667  0.333  0.111
Y  0.667  0.333  0.556
Pb  0.000  0.000  0.000
Pb  0.333  0.667  0.667
Pb  0.667  0.333  0.333
C  0.000  0.000  0.500
C  0.333  0.667  0.167
C  0.667  0.333  0.833



Record 6
A relaxed Y7Pb3C2 crystal, computed with PBE-GGA.

Results
**Total magnetic moment**: 0.0 Bohr magnetons per cell
**D(E_F)**: 0.347 states/eV per atom
**Final energy**: -81.82 eV per cell
**Calculated formation energy**: -56.3 kJ/mol of atoms

Cell lengths 13.359, 13.359, 13.359 Å; angles 158.92, 158.92, 29.99 degrees
Sites, in units of the cell vectors:
Y  0.000  0.000  0.000
Y  0.096  0.596  0.500
Y  0.193  0.193  0.000
Y  0.404  0.904  0.500
Y  0.596  0.096  0.500
Y  0.807  0.807  0.000
Y  0.904  0.404  0.500
Pb  0.318  0.318  0.000
Pb  0.500  0.500  0.000
Pb  0.682  0.682  0.000
C  0.097  0.097  0.000
C  0.903  0.903  0.000



Copy entry 6 word for word.
A relaxed Y7Pb3C2 crystal, computed with PBE-GGA.

Results
**Total magnetic moment**: 0.0 Bohr magnetons per cell
**D(E_F)**: 0.347 states/eV per atom
**Final energy**: -81.82 eV per cell
**Calculated formation energy**: -56.3 kJ/mol of atoms

Cell lengths 13.359, 13.359, 13.359 Å; angles 158.92, 158.92, 29.99 degrees
Sites, in units of the cell vectors:
Y  0.000  0.000  0.000
Y  0.096  0.596  0.500
Y  0.193  0.193  0.000
Y  0.404  0.904  0.500
Y  0.596  0.096  0.500
Y  0.807  0.807  0.000
Y  0.904  0.404  0.500
Pb  0.318  0.318  0.000
Pb  0.500  0.500  0.000
Pb  0.682  0.682  0.000
C  0.097  0.097  0.000
C  0.903  0.903  0.000



Question: Among the records above, which one has the highest calculated formation energy?
Answer: number 1



Question: total magnetic moment of number 1 (Y2PbC)?
Answer: 0.0 Bohr magnetons per cell